Entry 1:
CoBi2O6 | SCAN | single point on PBEsol structure

Output
* D(E_F): 0.202 states/eV per atom
* symmetry: P4_2/mnm, No. 136

The structure in POSCAR format:
```
CoBi2O6
1.0
4.8336 0.0000 0.0000
0.0000 4.8336 0.0000
0.0000 0.0000 9.6961
O Co Bi
12 2 4
Direct
0.6797 0.6797 0.3528
0.3203 0.3203 0.3528
0.8203 0.1797 0.1472
0.1797 0.8203 0.8528
0.6797 0.6797 0.6472
0.2237 0.7763 0.5000
0.2763 0.2763 0.0000
0.1797 0.8203 0.1472
0.8203 0.1797 0.8528
0.7237 0.7237 0.0000
0.7763 0.2237 0.5000
0.3203 0.3203 0.6472
0.0000 0.0000 0.0000
0.5000 0.5000 0.5000
0.5000 0.5000 0.1659
0.0000 0.0000 0.3341
0.5000 0.5000 0.8341
0.0000 0.0000 0.6659
```

Entry 2:
CoBi12O20 | SCAN | single point on PBEsol structure

Output
* symmetry: I23, No. 197

The structure in POSCAR format:
```
CoBi12O20
1.0
-2.8464 1.1672 8.1672
-1.8879 -8.1121 -2.6073
8.6395 1.2060 -0.2700
O Co Bi
20 1 12
Direct
0.7930 0.0000 0.0000
0.8744 0.2347 0.6211
0.3964 0.0000 0.0000
0.6036 0.6036 0.6036
0.6137 0.2534 0.3789
0.6397 0.3863 0.7653
0.3789 0.6137 0.2534
0.0000 0.7930 0.0000
0.2070 0.2070 0.2070
0.0000 0.3964 0.0000
0.3863 0.7653 0.6397
0.7466 0.3603 0.1256
0.3603 0.1256 0.7466
0.1256 0.7466 0.3603
0.0000 0.0000 0.7930
0.2347 0.6211 0.8744
0.0000 0.0000 0.3964
0.7653 0.6397 0.3863
0.6211 0.8744 0.2347
0.2534 0.3789 0.6137
0.0000 0.0000 0.0000
0.6947 0.1892 0.8562
0.5055 0.6670 0.8108
0.3053 0.1616 0.4945
0.8384 0.1438 0.3330
0.1616 0.4945 0.3053
0.8108 0.5055 0.6670
0.6670 0.8108 0.5055
0.3330 0.8384 0.1438
0.8562 0.6947 0.1892
0.1438 0.3330 0.8384
0.4945 0.3053 0.1616
0.1892 0.8562 0.6947
```

Entry 3:
CoBi2O6 | SCAN | single point on PBEsol structure

Output
* D(E_F): 0.541 states/eV per atom
* symmetry: P4mm, No. 99

The structure in POSCAR format:
```
CoBi2O6
1.0
3.5972 0.0000 0.0000
0.0000 3.5972 0.0000
0.0000 0.0000 8.3030
O Bi Co
6 2 1
Direct
0.0000 0.0000 0.0438
0.5000 0.0000 0.3166
0.5000 0.0000 0.8536
0.0000 0.0000 0.6014
0.0000 0.5000 0.3166
0.0000 0.5000 0.8536
0.5000 0.5000 0.0560
0.5000 0.5000 0.4766
0.0000 0.0000 0.8108
```

Entry 4:
CoBi2O6 | SCAN | single point on PBEsol structure

Output
* D(E_F): 0.396 states/eV per atom
* symmetry: P321, No. 150

The structure in POSCAR format:
```
CoBi2O6
1.0
-2.4186 3.6027 2.5773
-6.3367 0.0865 -6.0673
-0.6207 -5.3637 6.9152
O Bi Co
18 6 3
Direct
0.7770 0.7643 0.2326
0.7137 0.1213 0.9256
0.2104 0.5374 0.3966
0.7896 0.4626 0.8592
0.7896 0.1408 0.6034
0.2230 0.2357 0.4683
0.2230 0.2326 0.7643
0.2863 0.8787 0.8043
0.2104 0.6034 0.1408
0.7770 0.7674 0.5317
0.2863 0.9256 0.1213
0.2104 0.8592 0.4626
0.7137 0.8043 0.8787
0.7896 0.3966 0.5374
0.7137 0.0744 0.1957
0.2863 0.1957 0.0744
0.7770 0.4683 0.2357
0.2230 0.5317 0.7674
0.5000 0.6173 0.6173
0.5000 0.0000 0.3827
0.0000 0.2846 0.2846
0.5000 0.3827 0.0000
0.0000 0.7154 0.0000
0.0000 0.0000 0.7154
0.5000 0.0000 0.0000
0.9948 0.6667 0.3333
0.0052 0.3333 0.6667
```

Entry 5:
CoBiO2 | SCAN | single point on PBEsol structure

Output
* D(E_F): 0.458 states/eV per atom
* symmetry: I-42d, No. 122

The structure in POSCAR format:
```
CoBiO2
1.0
5.0621 0.0000 0.0000
-2.5310 5.2815 0.0216
0.0000 -2.4440 4.4330
Co O Bi
2 4 2
Direct
0.5000 0.0000 0.5000
0.7500 0.5000 0.2500
0.6250 0.7500 0.2080
0.7920 0.2500 0.8750
0.1250 0.7500 0.5420
0.4580 0.2500 0.3750
0.2500 0.5000 0.7500
0.0000 0.0000 0.0000
```

Entry 6:
CoBiPO2 | SCAN | single point on PBEsol structure

Output
* D(E_F): 0.298 states/eV per atom
* symmetry: P4/mmm, No. 123

The structure in POSCAR format:
```
CoBiPO2
1.0
4.0412 0.0000 0.0000
0.0000 4.0412 0.0000
0.0000 0.0000 5.5116
P O Co Bi
1 2 1 1
Direct
0.0000 0.0000 0.5000
0.5000 0.0000 0.0000
0.0000 0.5000 0.0000
0.5000 0.5000 0.5000
0.0000 0.0000 0.0000
```

Entry 7:
CoBi6S2O16 | SCAN | single point on PBEsol structure

Output
* symmetry: C2, No. 5

The structure in POSCAR format:
```
CoBi6S2O16
1.0
5.5682 0.0000 0.0000
0.0000 11.0648 -0.1371
0.0000 -1.1379 11.4494
Bi O S Co
12 32 4 2
Direct
0.1285 0.6736 0.4830
0.1274 0.9904 0.8429
0.1285 0.3264 0.5170
0.0545 0.6685 0.1621
0.5545 0.8314 0.3379
0.6286 0.1736 0.9830
0.6273 0.4904 0.3429
0.0545 0.3315 0.8379
0.6273 0.5096 0.6571
0.5545 0.1686 0.6621
0.1274 0.0096 0.1571
0.6286 0.8264 0.0170
0.1968 0.1405 0.5865
0.4035 0.4240 0.1251
0.4035 0.5760 0.8749
0.7081 0.1762 0.2261
0.9693 0.5593 0.8522
0.8818 0.1471 0.8303
0.6969 0.3595 0.9135
0.1472 0.7511 0.9331
0.3818 0.6471 0.3302
0.3776 0.1522 0.8304
0.8776 0.3479 0.6696
0.6969 0.6405 0.0865
0.3819 0.5000 0.5000
0.9035 0.0759 0.3749
0.9035 0.9241 0.6251
0.1968 0.8595 0.4135
0.8776 0.6521 0.3304
0.9693 0.4407 0.1478
0.4693 0.0593 0.3522
0.2080 0.6762 0.7261
0.3776 0.8478 0.1696
0.2080 0.3238 0.2739
0.8820 0.0000 0.0000
0.8697 0.5000 0.5000
0.6474 0.2510 0.4332
0.1472 0.2489 0.0669
0.6474 0.7490 0.5668
0.3818 0.3529 0.6698
0.3698 0.0000 0.0000
0.8818 0.8529 0.1697
0.7081 0.8238 0.7739
0.4693 0.9407 0.6478
0.6782 0.1422 0.3450
0.1782 0.3578 0.1550
0.1782 0.6422 0.8450
0.6782 0.8578 0.6550
0.0817 0.0000 0.5000
0.5816 0.5000 0.0000
```

Entry 8:
CoBi6S2O16 | SCAN | single point on PBEsol structure

Output
* symmetry: C2, No. 5

The structure in POSCAR format:
```
CoBi6S2O16
1.0
-4.4177 -0.2593 3.3800
-2.5595 -7.5767 0.6603
2.8789 -1.6066 8.2266
Bi O S Co
6 16 2 1
Direct
0.3922 0.3306 0.9936
0.4702 0.6666 0.6475
0.1455 0.6566 0.3094
0.7164 0.6694 0.0064
0.7843 0.3334 0.3525
0.1115 0.3434 0.6906
0.9820 0.9022 0.5500
0.0283 0.9505 0.7992
0.8696 0.5000 0.5000
0.6168 0.9115 0.7928
0.7780 0.0495 0.2008
0.0471 0.4826 0.1783
0.7143 0.1841 0.6822
0.5806 0.8159 0.3178
0.1103 0.2270 0.9459
0.3819 0.5000 0.5000
0.2833 0.7730 0.0541
0.3210 0.0885 0.2072
0.7080 0.5174 0.8217
0.5514 0.4775 0.1832
0.4342 0.0978 0.4500
0.2121 0.5225 0.8168
0.5230 0.0129 0.2971
0.8331 0.9871 0.7029
0.0816 0.0000 0.0000
```

Entry 9:
RbCo2BiPb | SCAN | single point on PBEsol structure

Output
* D(E_F): 0.586 states/eV per atom
* symmetry: P4/mmm, No. 123
* formation energy from the elements: 42.76 kcal/mol of atoms

The structure in POSCAR format:
```
RbCo2BiPb
1.0
-2.4248 -4.0147 0.6485
1.1028 0.0776 4.6039
-5.0867 3.2603 1.1635
Bi Co Pb Rb
1 2 1 1
Direct
0.0000 0.0000 0.5000
0.0000 0.5000 0.0000
0.5000 0.0000 0.0000
0.5000 0.5000 0.5000
0.0000 0.0000 0.0000
```

Entry 10:
CoBiPbW2 | SCAN | single point on PBEsol structure

Output
* D(E_F): 0.783 states/eV per atom
* symmetry: P4/mmm, No. 123
* formation energy from the elements: 70.52 kcal/mol of atoms

The structure in POSCAR format:
```
CoBiPbW2
1.0
-3.5189 -3.2211 1.5975
3.5955 -3.1506 1.5673
-0.0035 2.5287 5.0912
Bi Pb W Co
1 1 2 1
Direct
0.0000 0.0000 0.0000
0.0000 0.0000 0.5000
0.0000 0.5000 0.0000
0.5000 0.0000 0.0000
0.5000 0.5000 0.5000
```

Entry 11:
RbCo2BiPd | SCAN | single point on PBEsol structure

Output
* D(E_F): 1.028 states/eV per atom
* symmetry: P4/mmm, No. 123
* formation energy from the elements: 13.79 kcal/mol of atoms

The structure in POSCAR format:
```
RbCo2BiPd
1.0
4.9124 0.0000 0.0000
0.0000 4.9124 0.0000
0.0000 0.0000 5.1246
Rb Co Pd Bi
1 2 1 1
Direct
0.5000 0.5000 0.5000
0.5000 0.0000 0.0000
0.0000 0.5000 0.0000
0.0000 0.0000 0.0000
0.0000 0.0000 0.5000
```

Entry 12:
SrCoBi2Pd | SCAN | single point on PBEsol structure

Output
* D(E_F): 0.868 states/eV per atom
* symmetry: P4/mmm, No. 123
* formation energy from the elements: 9.46 kcal/mol of atoms

The structure in POSCAR format:
```
SrCoBi2Pd
1.0
5.2582 0.0000 0.0000
0.0000 5.2582 0.0000
0.0000 0.0000 5.4217
Pd Sr Co Bi
1 1 1 2
Direct
0.0000 0.0000 0.0000
0.0000 0.0000 0.5000
0.5000 0.5000 0.5000
0.5000 0.0000 0.0000
0.0000 0.5000 0.0000
```

no.,mass density (g cm⁻³),final energy (eV/f.u.)
1,8.399,-220.19
2,9.367,-1122.12
3,8.854,-218.17
4,8.483,-220.99
5,8.385,-111.14
6,6.104,-116.81
7,7.697,-642.17
8,7.696,-642.17
9,7.458,-200.44
10,9.727,-295.75
11,6.966,-163.71
12,7.432,-227.46